{"formula": "CsCu2IBr8", "functional": "PBE-GGA", "state": "optimized geometry", "raw_formation_energy_mev_per_atom": -383, "m_tot_mub_per_fu": 0.000, "cell": [[3.500, 2.021, 10.543], [-3.500, 2.021, 10.543], [0.000, -4.042, 10.543]], "species": ["Cs", "Cu", "Cu", "I", "Br", "Br", "Br", "Br", "Br", "Br", "Br", "Br"], "fractional_positions": [[0.000, 0.000, 0.000], [0.245, 0.245, 0.245], [0.755, 0.755, 0.755], [0.500, 0.500, 0.500], [0.116, 0.461, 0.757], [0.243, 0.884, 0.539], [0.319, 0.319, 0.319], [0.461, 0.757, 0.116], [0.539, 0.243, 0.884], [0.681, 0.681, 0.681], [0.757, 0.116, 0.461], [0.884, 0.539, 0.243]]}

---

{"formula": "Mg5Ir", "functional": "PBE-GGA", "state": "optimized geometry", "ef_ev_per_fu": 2.5, "relative_energy_ev_per_atom": 0.583, "m_tot_mub_per_fu": 0.000, "cell": [[5.330, 0.000, 0.000], [-2.665, 4.616, 0.000], [0.000, 0.000, 5.052]], "species": ["Mg", "Mg", "Mg", "Mg", "Mg", "Ir"], "fractional_positions": [[0.000, 0.500, 0.000], [0.333, 0.667, 0.500], [0.500, 0.000, 0.000], [0.500, 0.500, 0.000], [0.667, 0.333, 0.500], [0.000, 0.000, 0.500]]}

---

{"formula": "BaNaTe2Au", "functional": "PBE-GGA", "state": "optimized geometry", "raw_formation_energy_mev_per_atom": -975, "m_tot_mub_per_fu": 0.000, "cell": [[3.363, -8.043, 0.000], [3.363, 8.043, 0.000], [0.000, 0.000, 6.139]], "species": ["Ba", "Ba", "Na", "Na", "Te", "Te", "Te", "Te", "Au", "Au"], "fractional_positions": [[0.250, 0.750, 0.759], [0.750, 0.250, 0.241], [0.250, 0.250, 0.500], [0.750, 0.750, 0.500], [0.135, 0.865, 0.245], [0.365, 0.635, 0.245], [0.635, 0.365, 0.755], [0.865, 0.135, 0.755], [0.000, 0.000, 0.000], [0.500, 0.500, 0.000]]}

---

{"formula": "AcTbAsAu", "functional": "PBE-GGA", "state": "optimized geometry", "ef_ev_per_fu": -3.3, "m_tot_mub_per_fu": 1.020, "cell": [[0.000, 3.762, 3.762], [3.762, 0.000, 3.762], [3.762, 3.762, 0.000]], "species": ["Ac", "Tb", "As", "Au"], "fractional_positions": [[0.000, 0.000, 0.000], [0.500, 0.500, 0.500], [0.250, 0.250, 0.250], [0.750, 0.750, 0.750]]}

---

{"formula": "BaTlICl4", "functional": "PBE-GGA", "state": "optimized geometry", "raw_formation_energy_mev_per_atom": -1267, "m_tot_mub_per_fu": 0.000, "cell": [[6.426, -4.968, 0.000], [6.426, 4.968, 0.000], [-2.116, 0.000, 8.926]], "species": ["Ba", "Ba", "Tl", "Tl", "I", "I", "Cl", "Cl", "Cl", "Cl", "Cl", "Cl", "Cl", "Cl"], "fractional_positions": [[0.210, 0.210, 0.096], [0.790, 0.790, 0.904], [0.358, 0.358, 0.692], [0.642, 0.642, 0.308], [0.017, 0.017, 0.766], [0.983, 0.983, 0.234], [0.145, 0.507, 0.881], [0.209, 0.209, 0.468], [0.447, 0.447, 0.299], [0.493, 0.855, 0.119], [0.507, 0.145, 0.881], [0.553, 0.553, 0.701], [0.791, 0.791, 0.532], [0.855, 0.493, 0.119]]}

---

{"formula": "LaGa4Ag8", "functional": "PBE-GGA", "state": "optimized geometry", "ef_ev_per_fu": -2.1, "m_tot_mub_per_fu": 0.000, "cell": [[-4.756, 4.756, 2.684], [4.756, -4.756, 2.684], [4.756, 4.756, -2.684]], "species": ["La", "Ga", "Ga", "Ga", "Ga", "Ag", "Ag", "Ag", "Ag", "Ag", "Ag", "Ag", "Ag"], "fractional_positions": [[0.000, 0.000, 0.000], [0.000, 0.000, 0.500], [0.000, 0.500, 0.000], [0.500, 0.000, 0.000], [0.500, 0.500, 0.500], [0.000, 0.350, 0.350], [0.000, 0.650, 0.650], [0.282, 0.500, 0.782], [0.350, 0.000, 0.350], [0.500, 0.282, 0.782], [0.500, 0.718, 0.218], [0.650, 0.000, 0.650], [0.718, 0.500, 0.218]]}

---

{"formula": "BaZrTa2Ag", "functional": "PBE-GGA", "state": "optimized geometry", "ef_ev_per_fu": 7.7, "m_tot_mub_per_fu": 1.365, "cell": [[5.145, 0.000, 0.000], [0.000, 5.145, 0.000], [0.000, 0.000, 5.309]], "species": ["Ba", "Zr", "Ta", "Ta", "Ag"], "fractional_positions": [[0.000, 0.000, 0.000], [0.500, 0.500, 0.000], [0.000, 0.500, 0.500], [0.500, 0.000, 0.500], [0.500, 0.500, 0.500]]}

---

{"formula": "K2ZnC", "functional": "PBE-GGA", "state": "optimized geometry", "ef_ev_per_fu": 2.4, "relative_energy_ev_per_atom": 0.000, "m_tot_mub_per_fu": 0.000, "cell": [[-6.009, 6.009, 1.884], [6.009, -6.009, 1.884], [6.009, 6.009, -1.884]], "species": ["K", "K", "K", "K", "Zn", "Zn", "C", "C"], "fractional_positions": [[0.375, 0.097, 0.222], [0.847, 0.625, 0.722], [0.875, 0.153, 0.778], [0.903, 0.125, 0.278], [0.250, 0.750, 0.500], [0.500, 0.500, 0.000], [0.000, 0.000, 0.000], [0.750, 0.250, 0.500]]}

---

{"formula": "RbYSn3", "functional": "PBE-GGA", "state": "optimized geometry", "ef_ev_per_fu": 5.3, "relative_energy_ev_per_atom": 1.014, "m_tot_mub_per_fu": 0.000, "cell": [[5.767, 0.000, 0.000], [0.000, 5.767, 0.000], [0.000, 0.000, 5.767]], "species": ["Rb", "Y", "Sn", "Sn", "Sn"], "fractional_positions": [[0.000, 0.000, 0.000], [0.500, 0.500, 0.500], [0.000, 0.000, 0.500], [0.000, 0.500, 0.000], [0.500, 0.000, 0.000]]}

---

{"formula": "MgZn2HgI", "functional": "PBE-GGA", "state": "optimized geometry", "raw_formation_energy_mev_per_atom": 243, "m_tot_mub_per_fu": 0.000, "cell": [[5.032, 0.000, 0.000], [0.000, 5.032, 0.000], [0.000, 0.000, 6.771]], "species": ["Mg", "Zn", "Zn", "Hg", "I"], "fractional_positions": [[0.000, 0.000, 0.000], [0.000, 0.500, 0.500], [0.500, 0.000, 0.500], [0.500, 0.500, 0.500], [0.500, 0.500, 0.000]]}

---

{"formula": "CsZnGePSeBr", "functional": "PBE-GGA", "state": "optimized geometry", "raw_formation_energy_mev_per_atom": -608, "relative_energy_ev_per_atom": 0.000, "m_tot_mub_per_fu": 0.000, "cell": [[7.849, -1.958, 0.000], [7.849, 1.958, 0.000], [-2.069, 0.000, 5.979]], "species": ["Cs", "Zn", "Ge", "P", "Se", "Br"], "fractional_positions": [[0.000, 0.000, 0.000], [0.293, 0.293, 0.258], [0.708, 0.708, 0.714], [0.290, 0.290, 0.881], [0.708, 0.708, 0.322], [0.457, 0.457, 0.479]]}

---

{"formula": "LiHfAu4", "functional": "PBE-GGA", "state": "optimized geometry", "ef_ev_per_fu": -1.8, "relative_energy_ev_per_atom": 0.207, "m_tot_mub_per_fu": 0.000, "cell": [[4.351, 0.000, 0.000], [0.000, 4.351, 0.000], [0.000, 0.000, 6.420]], "species": ["Li", "Hf", "Au", "Au", "Au", "Au"], "fractional_positions": [[0.000, 0.000, 0.000], [0.500, 0.500, 0.500], [0.000, 0.500, 0.230], [0.000, 0.500, 0.770], [0.500, 0.000, 0.230], [0.500, 0.000, 0.770]]}